[1]
# Cs3BaSe, relaxed, DFT PBE
# ΔE_f (raw): -0.377 eV/atom
# space group: Pm-3m, No. 221
# DOS(E_F): 0.895 states/eV per atom
data_Cs3BaSe
_cell_length_a 7.150
_cell_length_b 7.150
_cell_length_c 7.150
_cell_angle_alpha 90.00
_cell_angle_beta 90.00
_cell_angle_gamma 90.00
_space_group_name_H-M_alt 'P 1'
_space_group_IT_number 1
_space_group_name_Hall 'P 1'
loop_
_atom_site_label
_atom_site_type_symbol
_atom_site_fract_x
_atom_site_fract_y
_atom_site_fract_z
_atom_site_occupancy
Cs1 Cs 0.000 0.500 0.000 1
Cs2 Cs 0.000 0.000 0.500 1
Cs3 Cs 0.500 0.000 0.000 1
Ba1 Ba 0.500 0.500 0.500 1
Se1 Se 0.000 0.000 0.000 1

[2]
# CsBa3Se, relaxed, DFT PBE
# ΔE_f (raw): -0.611 eV/atom
# space group: Pm-3m, No. 221
# E above lowest polymorph: 0 meV/atom
# DOS(E_F): 1.796 states/eV per atom
data_CsBa3Se
_cell_length_a 6.670
_cell_length_b 6.670
_cell_length_c 6.670
_cell_angle_alpha 90.00
_cell_angle_beta 90.00
_cell_angle_gamma 90.00
_space_group_name_H-M_alt 'P 1'
_space_group_IT_number 1
_space_group_name_Hall 'P 1'
loop_
_atom_site_label
_atom_site_type_symbol
_atom_site_fract_x
_atom_site_fract_y
_atom_site_fract_z
_atom_site_occupancy
Cs1 Cs 0.500 0.500 0.500 1
Ba1 Ba 0.000 0.500 0.000 1
Ba2 Ba 0.000 0.000 0.500 1
Ba3 Ba 0.500 0.000 0.000 1
Se1 Se 0.000 0.000 0.000 1

[3]
# CsBa2Se2, relaxed, DFT PBE
# ΔE_f (raw): -1.394 eV/atom
# space group: I4/mmm, No. 139
# E above lowest polymorph: 0 meV/atom
# DOS(E_F): 0.642 states/eV per atom
data_CsBa2Se2
_cell_length_a 6.124
_cell_length_b 6.124
_cell_length_c 8.090
_cell_angle_alpha 67.76
_cell_angle_beta 67.76
_cell_angle_gamma 90.00
_space_group_name_H-M_alt 'P 1'
_space_group_IT_number 1
_space_group_name_Hall 'P 1'
loop_
_atom_site_label
_atom_site_type_symbol
_atom_site_fract_x
_atom_site_fract_y
_atom_site_fract_z
_atom_site_occupancy
Cs1 Cs 0.000 0.000 0.000 1
Ba1 Ba 0.319 0.319 0.361 1
Ba2 Ba 0.681 0.681 0.639 1
Se1 Se 0.750 0.250 0.500 1
Se2 Se 0.250 0.750 0.500 1

[4]
# Cs2BaSn2Se4, relaxed, DFT PBE
# ΔE_f (raw): -1.087 eV/atom
# space group: C2/m, No. 12
data_Cs2BaSn2Se4
_cell_length_a 4.386
_cell_length_b 9.777
_cell_length_c 9.271
_cell_angle_alpha 116.66
_cell_angle_beta 90.00
_cell_angle_gamma 102.96
_space_group_name_H-M_alt 'P 1'
_space_group_IT_number 1
_space_group_name_Hall 'P 1'
loop_
_atom_site_label
_atom_site_type_symbol
_atom_site_fract_x
_atom_site_fract_y
_atom_site_fract_z
_atom_site_occupancy
Cs1 Cs 0.879 0.758 0.453 1
Cs2 Cs 0.121 0.242 0.547 1
Ba1 Ba 0.000 0.000 0.000 1
Sn1 Sn 0.306 0.612 0.957 1
Sn2 Sn 0.694 0.388 0.043 1
Se1 Se 0.810 0.621 0.765 1
Se2 Se 0.190 0.379 0.235 1
Se3 Se 0.451 0.901 0.206 1
Se4 Se 0.549 0.099 0.794 1

Copy entry 1 word for word.
# Cs3BaSe, relaxed, DFT PBE
# ΔE_f (raw): -0.377 eV/atom
# space group: Pm-3m, No. 221
# DOS(E_F): 0.895 states/eV per atom
data_Cs3BaSe
_cell_length_a 7.150
_cell_length_b 7.150
_cell_length_c 7.150
_cell_angle_alpha 90.00
_cell_angle_beta 90.00
_cell_angle_gamma 90.00
_space_group_name_H-M_alt 'P 1'
_space_group_IT_number 1
_space_group_name_Hall 'P 1'
loop_
_atom_site_label
_atom_site_type_symbol
_atom_site_fract_x
_atom_site_fract_y
_atom_site_fract_z
_atom_site_occupancy
Cs1 Cs 0.000 0.500 0.000 1
Cs2 Cs 0.000 0.000 0.500 1
Cs3 Cs 0.500 0.000 0.000 1
Ba1 Ba 0.500 0.500 0.500 1
Se1 Se 0.000 0.000 0.000 1

Q: Among the records above, which one has the lowest ΔE_f (raw)?
A: CsBa2Se2